Here is a relaxed V3Fe3Os crystal from Alexandria. Energies are from PBE.

Summary:
* energy of formation: 0.102 eV per atom
* SG: No. 65
* density of states at the Fermi level: 0.930 states/eV/atom
* final energy: -9.037 eV per atom
* magnetic moment: 0.24 μB/f.u.

Structure (extended XYZ):
```
14
Lattice="-5.111 0.094 2.477 2.318 -3.847 3.478 1.682 4.015 3.319" Properties=species:S:1:pos:R:3 pbc="T T T"
V -0.032 0.834 3.521
V 1.427 -0.921 4.905
V -2.537 1.182 4.370
V 0.420 -2.840 3.222
V -3.212 -0.913 2.733
V -1.079 -0.573 5.754
Fe -1.516 -0.705 8.476
Fe -2.131 1.061 2.077
Fe 1.584 -0.909 2.578
Fe 1.020 -0.799 7.198
Fe -2.695 1.171 6.697
Fe 0.405 0.967 0.799
Os 0.815 2.850 5.168
Os -1.926 -2.588 4.107
```

Here is a relaxed LaMnSiBi crystal from Alexandria. Energies are from PBE.

Summary:
* energy relative to the elements, uncorrected: -0.14 eV/atom
* SG: No. 38
* density of states at the Fermi level: 0.637 states/eV/atom
* final energy: -5.986 eV per atom
* magnetic moment: 2.67 μB/f.u.

Structure (extended XYZ):
```
8
Lattice="-1.977 1.798 3.207 2.955 -3.300 3.671 5.775 5.624 0.406" Properties=species:S:1:pos:R:3 pbc="T T T"
Si 4.130 4.022 0.291
Si 2.720 -0.440 1.923
Mn 2.251 4.053 1.831
Mn 0.841 -0.409 3.464
Bi 1.948 1.897 0.137
Bi 6.313 3.059 2.176
La 4.777 6.514 2.009
La 3.367 2.052 3.642
```

Here is a relaxed LiIrOs crystal from Alexandria. Energies are from PBE.

Summary:
* energy of formation: 0.124 eV per atom
* SG: No. 164
* density of states at the Fermi level: 0.736 states/eV/atom
* final energy: -7.211 eV per atom
* magnetic moment: 0.00 μB/f.u.

Structure (extended XYZ):
```
6
Lattice="-2.598 0.131 3.217 0.414 -3.489 -2.184 3.962 -1.574 3.264" Properties=species:S:1:pos:R:3 pbc="T T T"
Ir 0.962 -2.899 0.896
Ir 0.814 -2.033 3.401
Os 2.984 -3.703 2.561
Os -1.207 -1.230 1.736
Li 2.936 -1.167 2.419
Li 1.026 -0.408 0.845
```